No. 1
Compound: MgSnPd2
Source: OQMD via LeMat-Bulk
Functional: PBE
Structure: optimized geometry

Unit cell a=4.5074 b=4.5074 c=3.3785 alpha=90.00 beta=90.00 gamma=90.00
With the nearest neighbours (Å) after each atom.
Sites, in units of the cell vectors:
Mg: 0.0000 0.0000 0.0000  8 Pd 2.82
Sn: 0.5000 0.5000 0.0000  8 Pd 2.82
Pd: 0.0000 0.5000 0.5000  4 Sn 2.82, 4 Mg 2.82
Pd: 0.5000 0.0000 0.5000  4 Sn 2.82, 4 Mg 2.82

The value obtained for the energy is -4.63 eV/atom.

***

No. 2
Compound: MgSnPd2
Source: OQMD via LeMat-Bulk
Functional: PBE
Structure: optimized geometry

Unit cell a=4.5816 b=4.5816 c=4.5816 alpha=119.92 beta=119.92 gamma=90.14
With the nearest neighbours (Å) after each atom.
Sites, in units of the cell vectors:
Mg: 0.0000 0.0000 0.0000  8 Pd 2.81
Sn: 0.5000 0.5000 0.0000  8 Pd 2.81
Pd: 0.2500 0.7500 0.5000  4 Sn 2.81, 4 Mg 2.81
Pd: 0.7500 0.2500 0.5000  4 Sn 2.81, 4 Mg 2.81

The value obtained for the energy is -4.66 eV/atom.

***

No. 3
Compound: MgSnPd2
Source: OQMD via LeMat-Bulk
Functional: PBE
Structure: optimized geometry

Unit cell a=5.6315 b=5.6315 c=5.6315 alpha=111.25 beta=105.51 gamma=111.73
With the nearest neighbours (Å) after each atom.
Sites, in units of the cell vectors:
Mg: 0.2511 0.0011 0.2500  8 Pd 2.81-2.82, 1 Sn 3.14
Mg: 0.7489 0.9989 0.7500  8 Pd 2.81-2.82, 1 Sn 3.14
Sn: 0.2517 0.5017 0.7500  8 Pd 2.81-2.82, 1 Mg 3.14
Sn: 0.7483 0.4983 0.2500  8 Pd 2.81-2.82, 1 Mg 3.14
Pd: 0.2477 0.0000 0.7477  4 Mg 2.81-2.82, 4 Sn 2.81-2.82
Pd: 0.2477 0.5000 0.2477  4 Mg 2.81-2.82, 4 Sn 2.81-2.82
Pd: 0.7523 0.0000 0.2523  4 Mg 2.81-2.82, 4 Sn 2.81-2.82
Pd: 0.7523 0.5000 0.7523  4 Mg 2.81-2.82, 4 Sn 2.81-2.82

The value obtained for the energy is -4.63 eV/atom.

***

No. 4
Compound: MgSnPd2
Source: OQMD via LeMat-Bulk
Functional: PBE
Structure: optimized geometry

Unit cell a=4.6672 b=4.6672 c=7.9691 alpha=90.00 beta=90.00 gamma=120.00
With the nearest neighbours (Å) after each atom.
Sites, in units of the cell vectors:
Mg: 0.0000 0.0000 0.2500  3 Sn 2.69, 6 Pd 3.01
Mg: 0.0000 0.0000 0.7500  3 Sn 2.69, 6 Pd 3.01
Sn: 0.3333 0.6667 0.2500  2 Pd 2.65, 3 Mg 2.69
Sn: 0.6667 0.3333 0.7500  2 Pd 2.65, 3 Mg 2.69
Pd: 0.3333 0.6667 0.5823  1 Sn 2.65, 1 Pd 2.67
Pd: 0.3333 0.6667 0.9177  1 Sn 2.65, 1 Pd 2.67
Pd: 0.6667 0.3333 0.0823  1 Sn 2.65, 1 Pd 2.67
Pd: 0.6667 0.3333 0.4177  1 Sn 2.65, 1 Pd 2.67

The value obtained for the energy is -4.29 eV/atom.

***

No. 5
Compound: MgSnPd2
Source: OQMD via LeMat-Bulk
Functional: PBE
Structure: optimized geometry

Unit cell a=4.6130 b=4.6130 c=4.6130 alpha=60.00 beta=60.00 gamma=60.00
With the nearest neighbours (Å) after each atom.
Sites, in units of the cell vectors:
Mg: 0.0000 0.0000 0.0000  4 Sn 2.82, 4 Pd 2.82
Sn: 0.7500 0.7500 0.7500  4 Pd 2.82, 4 Mg 2.82
Pd: 0.2500 0.2500 0.2500  4 Pd 2.82, 4 Mg 2.82
Pd: 0.5000 0.5000 0.5000  4 Sn 2.82, 4 Pd 2.82

The value obtained for the energy is -4.42 eV/atom.

***

No. 6
Compound: MgSnPd2
Source: OQMD via LeMat-Bulk
Functional: PBE
Structure: optimized geometry

Unit cell a=4.5107 b=4.5107 c=8.3971 alpha=90.00 beta=90.00 gamma=120.00
With the nearest neighbours (Å) after each atom.
Sites, in units of the cell vectors:
Mg: 0.3333 0.6667 0.2500  8 Pd 2.81-2.95
Mg: 0.6667 0.3333 0.7500  8 Pd 2.81-2.95
Sn: 0.0000 0.0000 0.0000  6 Pd 2.70
Sn: 0.0000 0.0000 0.5000  6 Pd 2.70
Pd: 0.3333 0.6667 0.5845  3 Sn 2.70, 4 Pd 2.78-2.97, 4 Mg 2.81-2.95
Pd: 0.3333 0.6667 0.9155  3 Sn 2.70, 4 Pd 2.78-2.97, 4 Mg 2.81-2.95
Pd: 0.6667 0.3333 0.0845  3 Sn 2.70, 4 Pd 2.78-2.97, 4 Mg 2.81-2.95
Pd: 0.6667 0.3333 0.4155  3 Sn 2.70, 4 Pd 2.78-2.97, 4 Mg 2.81-2.95

The value obtained for the energy is -4.58 eV/atom.

***

No. 7
Compound: MgSnPd2
Source: OQMD via LeMat-Bulk
Functional: PBE
Structure: optimized geometry

Unit cell a=4.4748 b=4.4748 c=8.2840 alpha=90.00 beta=90.00 gamma=120.00
With the nearest neighbours (Å) after each atom.
Sites, in units of the cell vectors:
Mg: 0.0000 0.0000 0.0000  6 Pd 2.68
Mg: 0.0000 0.0000 0.5000  6 Pd 2.68
Sn: 0.3333 0.6667 0.2500  8 Pd 2.78-2.92
Sn: 0.6667 0.3333 0.7500  8 Pd 2.78-2.92
Pd: 0.3333 0.6667 0.5853  3 Mg 2.68, 4 Pd 2.73-2.95, 4 Sn 2.78-2.92
Pd: 0.3333 0.6667 0.9147  3 Mg 2.68, 4 Pd 2.73-2.95, 4 Sn 2.78-2.92
Pd: 0.6667 0.3333 0.0853  3 Mg 2.68, 4 Pd 2.73-2.95, 4 Sn 2.78-2.92
Pd: 0.6667 0.3333 0.4147  3 Mg 2.68, 4 Pd 2.73-2.95, 4 Sn 2.78-2.92

The value obtained for the energy is -4.60 eV/atom.

***

No. 8
Compound: Mg2SnPd3
Source: OQMD via LeMat-Bulk
Functional: PBE
Structure: optimized geometry

Unit cell a=4.5599 b=4.5599 c=5.5614 alpha=90.00 beta=90.00 gamma=120.00
With the nearest neighbours (Å) after each atom.
Sites, in units of the cell vectors:
Mg: 0.3333 0.6667 0.1617  8 Pd 2.74-2.82
Mg: 0.6667 0.3333 0.8383  8 Pd 2.74-2.82
Sn: 0.0000 0.0000 0.5000  8 Pd 2.78-2.79
Pd: 0.0000 0.0000 0.0000  2 Sn 2.78, 6 Mg 2.78
Pd: 0.3333 0.6667 0.6683  5 Mg 2.74-2.82, 3 Sn 2.79
Pd: 0.6667 0.3333 0.3317  5 Mg 2.74-2.82, 3 Sn 2.79

The value obtained for the energy is -4.49 eV/atom.